Record 1
Here is TaCdInH after structural relaxation from the Alexandria database. Energies are from PBE.

Summary:
space group	P1
electronic total energy	-4.66	eV/atom
spin magnetization	0.0	μB/cell
Fermi-level density of states	1.32	states/eV per cell
energy above the lowest structure with this stoichiometry	0.0	kJ per mole of atoms

Unit cell a=3.054 b=3.295 c=7.626 alpha=84.80 beta=78.53 gamma=61.93
Positions (direct):
H: 0.266 0.442 0.688
In: 0.443 0.729 0.056
Cd: 0.749 0.765 0.406
Ta: 0.922 0.083 0.739

---

Record 2
Here is TaCdInH after structural relaxation from the Alexandria database. Energies are from PBE.

Summary:
space group	Cm
electronic total energy	-4.64	eV/atom
spin magnetization	0.0	μB/cell
Fermi-level density of states	2.05	states/eV per cell
energy above the lowest structure with this stoichiometry	1.9	kJ per mole of atoms

Unit cell a=7.668 b=3.327 c=5.237 alpha=90.00 beta=94.52 gamma=90.00
Positions (direct):
Ta: 0.744 0.500 0.978
H: 0.673 0.500 0.316
Ta: 0.744 0.000 0.478
Cd: 0.411 0.500 0.619
In: 0.062 0.500 0.358
In: 0.062 0.000 0.858
H: 0.673 0.000 0.816
Cd: 0.411 0.000 0.119

---

Record 3
Here is TaCdInH after structural relaxation from the Alexandria database. Energies are from PBE.

Summary:
space group	P4mm
electronic total energy	-4.48	eV/atom
spin magnetization	0.0	μB/cell
Fermi-level density of states	1.23	states/eV per cell
energy above the lowest structure with this stoichiometry	17.0	kJ per mole of atoms

Unit cell a=3.012 b=3.012 c=8.023 alpha=90.00 beta=90.00 gamma=90.00
Positions (direct):
H: 0.500 0.500 0.908
In: 0.500 0.500 0.137
Ta: 0.000 0.000 0.398
Cd: 0.500 0.500 0.667

---

Record 4
Here is TaCdInH after structural relaxation from the Alexandria database. Energies are from PBE.

Summary:
space group	R3m
electronic total energy	-4.41	eV/atom
spin magnetization	0.0	μB/cell
Fermi-level density of states	6.84	states/eV per cell
energy above the lowest structure with this stoichiometry	24.3	kJ per mole of atoms

Unit cell a=3.099 b=3.099 c=25.788 alpha=90.00 beta=90.00 gamma=120.00
Positions (direct):
In: 0.000 0.000 0.848
Ta: 0.667 0.333 0.607
Cd: 0.333 0.667 0.367
Ta: 0.000 0.000 0.274
Cd: 0.667 0.333 0.034
H: 0.000 0.000 0.775
H: 0.667 0.333 0.108
In: 0.667 0.333 0.181
H: 0.333 0.667 0.442
Cd: 0.000 0.000 0.700
In: 0.333 0.667 0.515
Ta: 0.333 0.667 0.940

---

Record 5
Here is CdInTe2H after structural relaxation from the Alexandria database. Energies are from PBE.

Summary:
space group	P4/mmm
electronic total energy	-2.37	eV/atom
spin magnetization	0.0	μB/cell
Fermi-level density of states	1.80	states/eV per cell

Unit cell a=4.556 b=6.070 c=4.556 alpha=90.00 beta=90.00 gamma=90.00
Positions (direct):
H: 0.000 0.000 0.000
Cd: 0.000 0.500 0.000
Te: 0.500 0.000 0.000
Te: 0.000 0.000 0.500
In: 0.500 0.500 0.500

---

Record 6
Here is CdInTeH2 after structural relaxation from the Alexandria database. Energies are from PBE.

Summary:
space group	P4/mmm
electronic total energy	-2.41	eV/atom
spin magnetization	0.0	μB/cell
Fermi-level density of states	1.56	states/eV per cell

Unit cell a=4.103 b=6.562 c=4.103 alpha=90.00 beta=90.00 gamma=90.00
Positions (direct):
Te: 0.000 0.000 0.000
In: 0.000 0.500 0.000
H: 0.500 0.000 0.000
H: 0.000 0.000 0.500
Cd: 0.500 0.500 0.500

---

Record 7
Here is Ti2CdInH after structural relaxation from the Alexandria database. Energies are from PBE.

Summary:
space group	P4/mmm
electronic total energy	-4.67	eV/atom
spin magnetization	0.0	μB/cell
Fermi-level density of states	3.31	states/eV per cell
energy above the lowest structure with this stoichiometry	0.0	kJ per mole of atoms

Unit cell a=4.097 b=4.097 c=4.593 alpha=90.00 beta=90.00 gamma=90.00
Positions (direct):
In: 0.500 0.500 0.500
Cd: 0.000 0.000 0.500
H: 0.000 0.000 0.000
Ti: 0.000 0.500 0.000
Ti: 0.500 0.000 0.000

---

Record 8
Here is TlCdIn2H after structural relaxation from the Alexandria database. Energies are from PBE.

Summary:
space group	P4/mmm
electronic total energy	-2.21	eV/atom
spin magnetization	0.0	μB/cell
Fermi-level density of states	1.44	states/eV per cell

Unit cell a=4.835 b=4.835 c=4.860 alpha=90.00 beta=90.00 gamma=90.00
Positions (direct):
In: 0.500 0.000 0.000
In: 0.000 0.500 0.000
Tl: 0.500 0.500 0.500
H: 0.000 0.000 0.000
Cd: 0.000 0.000 0.500

---

Which formula does entry 7 have? Ti2CdInH

---

Which of these has the highest electronic total energy? TlCdIn2H